Model a:
A geometry-optimized TcRu2W structure. Source: the Alexandria database, functional GGA-PBE.

Computed properties:
Space-group type   No. 123
Spin magnetization   0.00 Bohr magnetons per cell

a b c (Å): 3.8928 3.8928 3.8611
angles (deg): 90.00 90.00 90.00
Sites, in units of the cell vectors:
Ru 0.0000 0.0000 0.0000
Ru 0.5000 0.5000 0.0000
Tc 0.5000 0.0000 0.5000
W 0.0000 0.5000 0.5000

Model b:
A geometry-optimized TcRu2W structure. Source: the Alexandria database, functional GGA-PBE.

Computed properties:
Space-group type   No. 225
Spin magnetization   2.27 Bohr magnetons per cell

a b c (Å): 4.3920 4.3920 4.3920
angles (deg): 60.00 60.00 60.00
Sites, in units of the cell vectors:
Ru 0.2500 0.2500 0.2500
Ru 0.7500 0.7500 0.7500
Tc 0.0000 0.0000 0.0000
W 0.5000 0.5000 0.5000

Model c:
A geometry-optimized TcRu2W structure. Source: the Alexandria database, functional GGA-PBE.

Computed properties:
Space-group type   No. 12
Spin magnetization   0.00 Bohr magnetons per cell

a b c (Å): 4.7498 4.7498 4.7605
angles (deg): 80.41 80.41 33.73
Sites, in units of the cell vectors:
Ru 0.0018 0.0018 0.9909
Ru 0.4982 0.4982 0.5091
Tc 0.7500 0.7500 0.7500
W 0.2500 0.2500 0.2500

Model d:
A geometry-optimized TcRu2W structure. Source: the Alexandria database, functional GGA-PBE.

Computed properties:
Space-group type   No. 160
Spin magnetization   0.00 Bohr magnetons per cell

a b c (Å): 4.3327 4.3327 4.4638
angles (deg): 60.97 60.97 60.00
Sites, in units of the cell vectors:
Tc 0.5005 0.5005 0.4985
Ru 0.0144 0.0144 0.9568
Ru 0.2457 0.2457 0.2628
W 0.7394 0.7394 0.7818

Energy above the most stable structure, in meV/atom: model a 0; model b 396; model c 51; model d 326

Model a:
A geometry-optimized Tc2RuW structure. Source: the Alexandria database, functional GGA-PBE.

Computed properties:
Space-group type   No. 44
Spin magnetization   0.00 Bohr magnetons per cell

a b c (Å): 5.1849 5.1849 5.1849
angles (deg): 145.33 129.64 62.59
Sites, in units of the cell vectors:
Ru 0.7313 0.2313 0.5000
Tc 0.0061 0.0061 0.0000
Tc 0.2667 0.7667 0.5000
W 0.4959 0.4959 0.0000

Model b:
A geometry-optimized Tc2RuW structure. Source: the Alexandria database, functional GGA-PBE.

Computed properties:
Space-group type   No. 166
Spin magnetization   0.00 Bohr magnetons per cell

a b c (Å): 9.2208 9.2208 9.2208
angles (deg): 17.18 17.18 17.18
Sites, in units of the cell vectors:
Ru 0.7500 0.7500 0.7500
Tc 0.0031 0.0031 0.0031
Tc 0.4969 0.4969 0.4969
W 0.2500 0.2500 0.2500

Model c:
A geometry-optimized Tc2RuW structure. Source: the Alexandria database, functional GGA-PBE.

Computed properties:
Space-group type   No. 47
Spin magnetization   0.00 Bohr magnetons per cell

a b c (Å): 2.7605 3.8774 5.5610
angles (deg): 90.00 90.00 90.00
Sites, in units of the cell vectors:
Ru 0.5000 0.5000 0.7500
Tc 0.0000 0.0000 0.9904
Tc 0.0000 0.0000 0.5096
W 0.5000 0.5000 0.2500

Energy above the most stable structure, in meV/atom: model a 82; model b 55; model c 0

Model a:
A geometry-optimized Tc2Ru2W structure. Source: the Alexandria database, functional GGA-PBE.

Computed properties:
Space-group type   No. 127
Spin magnetization   0.00 Bohr magnetons per cell

a b c (Å): 7.3936 7.3936 2.7622
angles (deg): 90.00 90.00 90.00
Sites, in units of the cell vectors:
Ru 0.1716 0.6716 0.5000
Ru 0.6716 0.8284 0.5000
Ru 0.8284 0.3284 0.5000
Ru 0.3284 0.1716 0.5000
Tc 0.3765 0.8765 0.0000
Tc 0.8765 0.6235 0.0000
Tc 0.6235 0.1235 0.0000
Tc 0.1235 0.3765 0.0000
W 0.0000 0.0000 0.0000
W 0.5000 0.5000 0.0000

Model b:
A geometry-optimized Tc2Ru2W structure. Source: the Alexandria database, functional GGA-PBE.

Computed properties:
Space-group type   No. 139
Spin magnetization   0.00 Bohr magnetons per cell

a b c (Å): 3.4205 3.4205 7.2234
angles (deg): 76.30 76.30 90.00
Sites, in units of the cell vectors:
Ru 0.4058 0.4058 0.1885
Ru 0.5942 0.5942 0.8115
Tc 0.7500 0.2500 0.5000
Tc 0.2500 0.7500 0.5000
W 0.0000 0.0000 0.0000

Energy above the most stable structure, in meV/atom: model a 0; model b 365

Model a:
A geometry-optimized TcRuW structure. Source: the Alexandria database, functional GGA-PBE.

Computed properties:
Space-group type   No. 153
Spin magnetization   0.00 Bohr magnetons per cell

a b c (Å): 4.8022 4.8022 6.7419
angles (deg): 90.00 90.00 120.00
Sites, in units of the cell vectors:
W 0.9120 0.4560 0.5000
W 0.5440 0.0880 0.8333
W 0.5440 0.4560 0.1667
Tc 0.5702 0.7851 0.5000
Tc 0.2149 0.4298 0.8333
Tc 0.2149 0.7851 0.1667
Ru 0.2279 0.1139 0.5000
Ru 0.8861 0.7721 0.8333
Ru 0.8861 0.1139 0.1667

Model b:
A geometry-optimized TcRuW structure. Source: the Alexandria database, functional GGA-PBE.

Computed properties:
Space-group type   No. 107
Spin magnetization   0.00 Bohr magnetons per cell

a b c (Å): 5.1391 5.1391 5.1391
angles (deg): 144.35 144.35 51.31
Sites, in units of the cell vectors:
Ru 0.0087 0.0087 0.0000
Tc 0.3202 0.3202 0.0000
W 0.6711 0.6711 0.0000

Energy above the most stable structure, in meV/atom: model a 0; model b 132

Model a:
A geometry-optimized TcRuW structure. Source: the Alexandria database, functional GGA-PBE.

Computed properties:
Space-group type   No. 44
Spin magnetization   0.00 Bohr magnetons per cell

a b c (Å): 4.8168 4.8168 4.8168
angles (deg): 146.90 132.15 59.42
Sites, in units of the cell vectors:
Ru 0.9978 0.9978 0.0000
Tc 0.3367 0.3367 0.0000
W 0.6656 0.6656 0.0000

Model b:
A geometry-optimized TcRuW structure. Source: the Alexandria database, functional GGA-PBE.

Computed properties:
Space-group type   No. 156
Spin magnetization   0.00 Bohr magnetons per cell

a b c (Å): 4.3851 4.3851 2.7223
angles (deg): 90.00 90.00 120.00
Sites, in units of the cell vectors:
Ru 0.0000 0.0000 0.9616
Tc 0.3333 0.6667 0.4094
W 0.6667 0.3333 0.6290

Energy above the most stable structure, in meV/atom: model a 0; model b 69

Model a:
A geometry-optimized TcRuW structure. Source: the Alexandria database, functional GGA-PBE.

Computed properties:
Space-group type   No. 216
Spin magnetization   0.00 Bohr magnetons per cell

a b c (Å): 4.2079 4.2079 4.2079
angles (deg): 60.00 60.00 60.00
Sites, in units of the cell vectors:
Ru 0.0000 0.0000 0.0000
Tc 0.5000 0.5000 0.5000
W 0.7500 0.7500 0.7500

Model b:
A geometry-optimized TcRuW structure. Source: the Alexandria database, functional GGA-PBE.

Computed properties:
Space-group type   No. 107
Spin magnetization   0.00 Bohr magnetons per cell

a b c (Å): 6.2576 6.2575 2.7455
angles (deg): 77.33 77.33 25.34
Sites, in units of the cell vectors:
Ru 0.9940 0.9940 0.0060
Tc 0.3426 0.3426 0.6574
W 0.6635 0.6635 0.3365

Energy above the most stable structure, in meV/atom: model a 571; model b 0

Model a:
A geometry-optimized TcRu3W structure. Source: the Alexandria database, functional GGA-PBE.

Computed properties:
Space-group type   No. 221
Spin magnetization   4.62 Bohr magnetons per cell

a b c (Å): 4.6395 4.6395 4.6395
angles (deg): 90.00 90.00 90.00
Sites, in units of the cell vectors:
Ru 0.0000 0.5000 0.0000
Ru 0.0000 0.0000 0.5000
Ru 0.5000 0.0000 0.0000
Tc 0.5000 0.5000 0.5000
W 0.0000 0.0000 0.0000

Model b:
A geometry-optimized TcRu3W structure. Source: the Alexandria database, functional GGA-PBE.

Computed properties:
Space-group type   No. 221
Spin magnetization   0.00 Bohr magnetons per cell

a b c (Å): 4.5408 4.5408 4.5408
angles (deg): 90.00 90.00 90.00
Sites, in units of the cell vectors:
Ru 0.0000 0.5000 0.0000
Ru 0.0000 0.0000 0.5000
Ru 0.5000 0.0000 0.0000
Tc 0.0000 0.0000 0.0000
W 0.5000 0.5000 0.5000

Model c:
A geometry-optimized TcRu3W structure. Source: the Alexandria database, functional GGA-PBE.

Computed properties:
Space-group type   No. 2
Spin magnetization   0.00 Bohr magnetons per cell

a b c (Å): 5.1233 8.5991 5.1183
angles (deg): 89.87 119.90 57.04
Sites, in units of the cell vectors:
Tc 0.9927 0.1508 0.7420
Tc 0.9927 0.6508 0.7420
Ru 0.1985 0.3419 0.1072
Ru 0.7870 0.9597 0.3768
Ru 0.5284 0.7200 0.0106
Ru 0.7859 0.9590 0.9001
Ru 0.1996 0.3426 0.5838
Ru 0.4571 0.5815 0.4734
W 0.2974 0.9536 0.3929
W 0.6881 0.3479 0.0910

Energy above the most stable structure, in meV/atom: model a 1577; model b 1703; model c 0

Model a:
A geometry-optimized YTc2Ru structure. Source: the Alexandria database, functional GGA-PBE.

Computed properties:
Space-group type   No. 71
Spin magnetization   0.00 Bohr magnetons per cell

a b c (Å): 5.6874 5.6874 5.6874
angles (deg): 149.57 131.94 57.95
Sites, in units of the cell vectors:
Ru 0.2500 0.7500 0.5000
Tc 0.0276 0.0276 0.0000
Tc 0.4724 0.4724 0.0000
Y 0.7500 0.2500 0.5000

Model b:
A geometry-optimized YTc2Ru structure. Source: the Alexandria database, functional GGA-PBE.

Computed properties:
Space-group type   No. 8
Spin magnetization   0.00 Bohr magnetons per cell

a b c (Å): 5.1644 5.1644 4.9162
angles (deg): 69.04 69.04 35.26
Sites, in units of the cell vectors:
Ru 0.7242 0.7242 0.8160
Tc 0.9973 0.9973 0.9871
Tc 0.2797 0.2797 0.2026
Y 0.4987 0.4987 0.4943

Model c:
A geometry-optimized YTc2Ru structure. Source: the Alexandria database, functional GGA-PBE.

Computed properties:
Space-group type   No. 160
Spin magnetization   0.00 Bohr magnetons per cell

a b c (Å): 9.3212 9.3212 9.3212
angles (deg): 18.02 18.02 18.02
Sites, in units of the cell vectors:
Ru 0.7422 0.7422 0.7422
Tc 0.0000 0.0000 0.0000
Tc 0.2586 0.2586 0.2586
Y 0.4993 0.4993 0.4993

Energy above the most stable structure, in meV/atom: model a 9; model b 0; model c 215